# AlAs2Os

AlAs2Os at its PBEsol-relaxed geometry (SCAN, Alexandria).

Structure (CIF):
```
data_AlAs2Os
_space_group_name_H-M_alt 'R 3 m'
_space_group_IT_number 160
_space_group_name_Hall 'R 3 -2"'
_cell_length_a 2.9242
_cell_length_b 2.9242
_cell_length_c 27.7323
_cell_angle_alpha 90.00
_cell_angle_beta 90.00
_cell_angle_gamma 120.00
loop_
_atom_site_label
_atom_site_type_symbol
_atom_site_fract_x
_atom_site_fract_y
_atom_site_fract_z
Al1 Al 0.0000 0.0000 0.0000
As1 As 0.0000 0.0000 0.5281
As2 As 0.0000 0.0000 0.7444
Os1 Os 0.0000 0.0000 0.2613
```

## Properties
DOS at the Fermi energy	1.2	states/eV/f.u.
raw total energy	-360.881	eV per cell
calculated formation energy	-0.070	eV per atom